## AlInRe2 (PBE-GGA)

Data for AlInRe2 after structural relaxation.

* magnetic moment: 0.000 μB per cell
* calculated total energy: -7.742 eV/atom
* calculated density: 12.79 g cm⁻³
* offset from the most stable computed form: 0.0 meV per atom
* ΔE_f: 102.2 meV per atom
* calculated volume: 16.68 Å³/atom

abc: 9.2741 9.2741 9.2741
angles: 18.03 18.03 18.03
Sites, in units of the cell vectors:
Al  0.0000  0.0000  0.0000
In  0.7581  0.7581  0.7581
Re  0.2556  0.2556  0.2556
Re  0.5144  0.5144  0.5144